<A>
The following is a DFT calculation (PBE) of a relaxed structure of BaLa2HgO.

The structure belongs to space group P4/mmm (No. 123); the cell edges are 4.887, 4.887 and 7.087 Å and the angles 90.00°, 90.00° and 90.00°. The asymmetric unit holds Ba at (0.000, 0.000, 0.000), La at (0.000, 0.500, 0.500), Hg at (0.500, 0.500, 0.000) and O at (0.500, 0.500, 0.500).

The density of states at the Fermi level is 1.70 states/eV per atom. The calculation puts the total magnetization at 0.0 Bohr magnetons per cell.

<B>
The following is a DFT calculation (PBE) of a relaxed structure of BaLa2HgO.

The structure belongs to space group P4/mmm (No. 123); the cell edges are 5.060, 5.060 and 5.516 Å and the angles 90.00°, 90.00° and 90.00°. The asymmetric unit holds Ba at (0.000, 0.000, 0.000), La at (0.000, 0.500, 0.500), Hg at (0.500, 0.500, 0.000) and O at (0.000, 0.000, 0.500).

The density of states at the Fermi level is 1.04 states/eV per atom. The calculation puts the total magnetization at 0.0 Bohr magnetons per cell.

Stability, descending: <B>, <A>

<A>
The following is a DFT calculation (PBE) of a relaxed structure of BaLa2HgRu.

The structure belongs to space group P4/mmm (No. 123); the cell edges are 5.408, 5.408 and 5.722 Å and the angles 90.00°, 90.00° and 90.00°. The asymmetric unit holds Ba at (0.000, 0.000, 0.000), La at (0.000, 0.500, 0.500), Hg at (0.500, 0.500, 0.000) and Ru at (0.500, 0.500, 0.500).

The density of states at the Fermi level is 0.84 states/eV per atom. The calculation puts the total magnetization at 0.0 Bohr magnetons per cell.

<B>
The following is a DFT calculation (PBE) of a relaxed structure of BaLa2HgRu.

The structure belongs to space group P4/mmm (No. 123); the cell edges are 5.394, 5.394 and 6.233 Å and the angles 90.00°, 90.00° and 90.00°. The asymmetric unit holds Ba at (0.000, 0.000, 0.000), La at (0.000, 0.500, 0.500), Hg at (0.500, 0.500, 0.000) and Ru at (0.000, 0.000, 0.500).

The density of states at the Fermi level is 1.10 states/eV per atom. The calculation puts the total magnetization at 0.0 Bohr magnetons per cell.

Stability, descending: <A>, <B>

<A>
The following is a DFT calculation (PBE) of a relaxed structure of BaLaTlHg.

The structure belongs to space group P4mm (No. 99); the cell edges are 4.045, 4.045 and 8.395 Å and the angles 90.00°, 90.00° and 90.00°. The asymmetric unit holds Ba at (0.000, 0.000, 0.000), La at (0.000, 0.000, 0.514), Tl at (0.500, 0.500, 0.284) and Hg at (0.500, 0.500, 0.725).

The density of states at the Fermi level is 0.91 states/eV per atom. The calculation puts the total magnetization at 0.1 Bohr magnetons per cell.

<B>
The following is a DFT calculation (PBE) of a relaxed structure of BaLaTlHg.

The structure belongs to space group F-43m (No. 216); the cell edges are 8.191, 8.191 and 8.191 Å and the angles 90.00°, 90.00° and 90.00°. The asymmetric unit holds Ba at (0.000, 0.000, 0.000), La at (0.000, 0.000, 0.500), Tl at (0.250, 0.250, 0.750) and Hg at (0.250, 0.250, 0.250).

The density of states at the Fermi level is 0.88 states/eV per atom. The calculation puts the total magnetization at 0.0 Bohr magnetons per cell.

Stability, descending: <A>, <B>

<A>
The following is a DFT calculation (PBE) of a relaxed structure of BaLiHg.

The structure belongs to space group F-43m (No. 216); the cell edges are 7.948, 7.948 and 7.948 Å and the angles 90.00°, 90.00° and 90.00°. The asymmetric unit holds Ba at (0.000, 0.000, 0.000), Li at (0.250, 0.250, 0.250) and Hg at (0.250, 0.250, 0.750).

The density of states at the Fermi level is 1.08 states/eV per atom. The calculation puts the total magnetization at 0.0 Bohr magnetons per cell.

<B>
The following is a DFT calculation (PBE) of a relaxed structure of BaLiHg.

The structure belongs to space group P-6m2 (No. 187); the cell edges are 5.0267, 5.0267 and 4.5068 Å and the angles 90.00°, 90.00° and 120.00°. The asymmetric unit holds Ba at (0.0000, 0.0000, 0.0000), Li at (0.3333, 0.6667, 0.5000) and Hg at (0.6667, 0.3333, 0.5000).

The density of states at the Fermi level is 1.14 states/eV per atom. The calculation puts the total magnetization at 0.0 Bohr magnetons per cell.

<C>
The following is a DFT calculation (PBE) of a relaxed structure of BaLiHg.

The structure belongs to space group Aem2 (No. 39); the cell edges are 9.432, 6.494 and 6.494 Å and the angles 90.00°, 90.00° and 90.00°. The asymmetric unit holds Ba at (0.169, 0.250, 0.000), Li at (0.500, 0.000, 0.249) and Hg at (0.310, 0.250, 0.499).

The density of states at the Fermi level is 1.04 states/eV per atom. The calculation puts the total magnetization at 0.0 Bohr magnetons per cell.

<D>
The following is a DFT calculation (PBE) of a relaxed structure of BaLiHg.

The structure belongs to space group F-43m (No. 216); the cell edges are 7.757, 7.757 and 7.757 Å and the angles 90.00°, 90.00° and 90.00°. The asymmetric unit holds Ba at (0.000, 0.000, 0.000), Li at (0.000, 0.000, 0.500) and Hg at (0.250, 0.250, 0.750).

The density of states at the Fermi level is 0.74 states/eV per atom. The calculation puts the total magnetization at 0.0 Bohr magnetons per cell.

Stability, descending: <C>, <B>, <D>, <A>

<A>
The following is a DFT calculation (PBE) of a relaxed structure of BaLi3Hg.

The structure belongs to space group P6_3/mmc (No. 194); the cell edges are 7.2645, 7.2645 and 6.2483 Å and the angles 90.00°, 90.00° and 120.00°. The asymmetric unit holds Ba at (0.3333, 0.6667, 0.2500), Li at (0.1831, 0.3661, 0.7500) and Hg at (0.0000, 0.0000, 0.0000).

The density of states at the Fermi level is 0.71 states/eV per atom. The calculation puts the total magnetization at 0.0 Bohr magnetons per cell.

<B>
The following is a DFT calculation (PBE) of a relaxed structure of BaLi3Hg.

The structure belongs to space group Pm-3m (No. 221); the cell edges are 7.058, 7.058 and 7.058 Å and the angles 90.00°, 90.00° and 90.00°. The asymmetric unit holds Ba at (0.000, 0.000, 0.000), Li at (0.000, 0.000, 0.500) and Hg at (0.500, 0.500, 0.500).

The density of states at the Fermi level is 1.79 states/eV per atom. The calculation puts the total magnetization at 1.1 Bohr magnetons per cell.

<C>
The following is a DFT calculation (PBE) of a relaxed structure of BaLi3Hg.

The structure belongs to space group Pm-3m (No. 221); the cell edges are 5.268, 5.268 and 5.268 Å and the angles 90.00°, 90.00° and 90.00°. The asymmetric unit holds Ba at (0.000, 0.000, 0.000), Li at (0.000, 0.500, 0.500) and Hg at (0.500, 0.500, 0.500).

The density of states at the Fermi level is 0.90 states/eV per atom. The calculation puts the total magnetization at 0.0 Bohr magnetons per cell.

<D>
The following is a DFT calculation (PBE) of a relaxed structure of BaLi3Hg.

The structure belongs to space group Pm (No. 6); the cell edges are 7.634, 4.616 and 8.288 Å and the angles 90.00°, 103.90° and 90.00°. The asymmetric unit holds Ba at (0.000, 0.000, 0.000), Ba at (0.366, 0.500, 0.372), Li at (0.078, 0.000, 0.561), Li at (0.288, 0.500, 0.811), Li at (0.541, 0.000, 0.085), Li at (0.543, 0.000, 0.722), Li at (0.823, 0.500, 0.650), Li at (0.824, 0.500, 0.286), Hg at (0.653, 0.500, 0.933) and Hg at (0.713, 0.000, 0.439).

The density of states at the Fermi level is 0.66 states/eV per atom. The calculation puts the total magnetization at 0.0 Bohr magnetons per cell.

Stability, descending: <D>, <C>, <A>, <B>

<A>
The following is a DFT calculation (PBE) of a relaxed structure of Ba4LiHg.

The structure belongs to space group F-43m (No. 216); the cell edges are 10.798, 10.798 and 10.798 Å and the angles 90.00°, 90.00° and 90.00°. The asymmetric unit holds Ba at (0.125, 0.125, 0.125), Li at (0.000, 0.000, 0.500) and Hg at (0.250, 0.250, 0.750).

The density of states at the Fermi level is 2.07 states/eV per atom. The calculation puts the total magnetization at 0.0 Bohr magnetons per cell.

<B>
The following is a DFT calculation (PBE) of a relaxed structure of Ba4LiHg.

The structure belongs to space group P2_1/c (No. 14); the cell edges are 8.635, 8.553 and 8.631 Å and the angles 90.00°, 93.49° and 90.00°. The asymmetric unit holds Ba at (0.153, 0.164, 0.176), Ba at (0.338, 0.654, 0.143), Li at (0.500, 0.000, 0.000) and Hg at (0.000, 0.000, 0.500).

The density of states at the Fermi level is 1.21 states/eV per atom. The calculation puts the total magnetization at 0.0 Bohr magnetons per cell.

Stability, descending: <B>, <A>

<A>
The following is a DFT calculation (PBE) of a relaxed structure of Ba4Li2Hg.

The structure belongs to space group I4/mmm (No. 139); the cell edges are 8.550, 8.550 and 8.493 Å and the angles 90.00°, 90.00° and 90.00°. The asymmetric unit holds Ba at (0.250, 0.250, 0.250), Li at (0.000, 0.500, 0.000) and Hg at (0.000, 0.000, 0.000).

The density of states at the Fermi level is 1.24 states/eV per atom. The calculation puts the total magnetization at 0.0 Bohr magnetons per cell.

<B>
The following is a DFT calculation (PBE) of a relaxed structure of Ba4Li2Hg.

The structure belongs to space group I4/mmm (No. 139); the cell edges are 6.577, 6.577 and 17.817 Å and the angles 90.00°, 90.00° and 90.00°. The asymmetric unit holds Ba at (0.000, 0.000, 0.192), Ba at (0.000, 0.500, 0.000), Li at (0.000, 0.000, 0.401) and Hg at (0.000, 0.000, 0.000).

The density of states at the Fermi level is 1.28 states/eV per atom. The calculation puts the total magnetization at 0.0 Bohr magnetons per cell.

Stability, descending: <A>, <B>

<A>
The following is a DFT calculation (PBE) of a relaxed structure of BaLi3Hg2.

The structure belongs to space group C2/m (No. 12); the cell edges are 16.631, 4.702 and 8.867 Å and the angles 90.00°, 115.65° and 90.00°. The asymmetric unit holds Ba at (0.149, 0.000, 0.066), Li at (0.035, 0.000, 0.374), Li at (0.086, 0.500, 0.649), Li at (0.190, 0.500, 0.463), Hg at (0.024, 0.500, 0.194) and Hg at (0.183, 0.000, 0.675).

The density of states at the Fermi level is 0.61 states/eV per atom. The calculation puts the total magnetization at 0.0 Bohr magnetons per cell.

<B>
The following is a DFT calculation (PBE) of a relaxed structure of BaLi3Hg2.

The structure belongs to space group P6/mmm (No. 191); the cell edges are 10.6986, 10.6986 and 4.6991 Å and the angles 90.00°, 90.00° and 120.00°. The asymmetric unit holds Ba at (0.0000, 0.0000, 0.0000), Ba at (0.3333, 0.6667, 0.5000), Li at (0.0000, 0.2956, 0.5000), Li at (0.0000, 0.5000, 0.0000) and Hg at (0.1900, 0.3800, 0.0000).

The density of states at the Fermi level is 0.59 states/eV per atom. The calculation puts the total magnetization at 0.0 Bohr magnetons per cell.

Stability, descending: <B>, <A>

<A>
The following is a DFT calculation (PBE) of a relaxed structure of Ba8Li2Hg.

The structure belongs to space group Cm (No. 8); the cell edges are 8.300, 22.609 and 6.720 Å and the angles 90.00°, 116.18° and 90.00°. The asymmetric unit holds Ba at (0.000, 0.000, 0.000), Ba at (0.011, 0.500, 0.264), Ba at (0.045, 0.379, 0.784), Ba at (0.256, 0.197, 0.133), Ba at (0.466, 0.379, 0.480), Li at (0.256, 0.261, 0.633) and Hg at (0.255, 0.000, 0.631).

The density of states at the Fermi level is 1.07 states/eV per atom. The calculation puts the total magnetization at 0.0 Bohr magnetons per cell.

<B>
The following is a DFT calculation (PBE) of a relaxed structure of Ba8Li2Hg.

The structure belongs to space group C2/m (No. 12); the cell edges are 21.848, 6.249 and 8.454 Å and the angles 90.00°, 107.44° and 90.00°. The asymmetric unit holds Ba at (0.026, 0.000, 0.296), Ba at (0.090, 0.500, 0.929), Ba at (0.159, 0.500, 0.471), Ba at (0.204, 0.000, 0.811), Li at (0.182, 0.000, 0.217) and Hg at (0.000, 0.500, 0.500).

The density of states at the Fermi level is 1.27 states/eV per atom. The calculation puts the total magnetization at 0.0 Bohr magnetons per cell.

Stability, descending: <B>, <A>

<A>
The following is a DFT calculation (PBE) of a relaxed structure of BaLiMgHg.

The structure belongs to space group F-43m (No. 216); the cell edges are 7.792, 7.792 and 7.792 Å and the angles 90.00°, 90.00° and 90.00°. The asymmetric unit holds Ba at (0.000, 0.000, 0.000), Li at (0.250, 0.250, 0.750), Mg at (0.000, 0.000, 0.500) and Hg at (0.250, 0.250, 0.250).

The density of states at the Fermi level is 1.41 states/eV per atom. The calculation puts the total magnetization at 1.3 Bohr magnetons per cell.

<B>
The following is a DFT calculation (PBE) of a relaxed structure of BaLiMgHg.

The structure belongs to space group Cm (No. 8); the cell edges are 8.626, 4.984 and 6.489 Å and the angles 90.00°, 116.39° and 90.00°. The asymmetric unit holds Ba at (0.000, 0.000, 0.000), Li at (0.307, 0.500, 0.423), Mg at (0.009, 0.500, 0.528) and Hg at (0.199, 0.000, 0.597).

The density of states at the Fermi level is 0.96 states/eV per atom. The calculation puts the total magnetization at 0.0 Bohr magnetons per cell.

Stability, descending: <B>, <A>

<A>
The following is a DFT calculation (PBE) of a relaxed structure of BaNa2LiHg.

The structure belongs to space group P4/mmm (No. 123); the cell edges are 5.839, 5.839 and 5.445 Å and the angles 90.00°, 90.00° and 90.00°. The asymmetric unit holds Ba at (0.000, 0.000, 0.000), Na at (0.000, 0.500, 0.500), Li at (0.500, 0.500, 0.000) and Hg at (0.500, 0.500, 0.500).

The density of states at the Fermi level is 0.63 states/eV per atom. The calculation puts the total magnetization at 0.0 Bohr magnetons per cell.

<B>
The following is a DFT calculation (PBE) of a relaxed structure of BaNa2LiHg.

The structure belongs to space group P4/mmm (No. 123); the cell edges are 5.603, 5.603 and 5.356 Å and the angles 90.00°, 90.00° and 90.00°. The asymmetric unit holds Ba at (0.000, 0.000, 0.000), Na at (0.000, 0.500, 0.500), Li at (0.500, 0.500, 0.500) and Hg at (0.500, 0.500, 0.000).

The density of states at the Fermi level is 0.68 states/eV per atom. The calculation puts the total magnetization at 0.0 Bohr magnetons per cell.

Stability, descending: <B>, <A>